Run w
Density functional theory data (PBE) for a relaxed CoCuW crystal.

Cell: 2.5841 4.6283 13.5069 Å, 90.00 90.00 90.00°
With the nearest neighbours (Å) after each atom.
Space group Immm (No. 71)
Unique sites:
Co 0.0000 0.0000 0.1572  1 W 2.28, 2 Cu 2.43
Cu 0.0000 0.2549 0.0000  2 Cu 2.27-2.36, 2 Co 2.43
W 0.0000 0.0000 0.3259  1 Co 2.28

---

Run x
Density functional theory data (PBE) for a relaxed CoCuW crystal.

Cell: 2.7183 2.7183 10.4581 Å, 90.00 90.00 90.00°
With the nearest neighbours (Å) after each atom.
Space group I4mm (No. 107)
Unique sites:
Co 0.0000 0.0000 0.0000  4 Cu 2.52, 4 W 2.56, 4 Co 2.72
Cu 0.0000 0.0000 0.3443  4 Co 2.52, 4 W 2.71, 4 Cu 2.72
W 0.0000 0.0000 0.6616  4 Co 2.56, 4 Cu 2.71, 4 W 2.72

---

Run y
Density functional theory data (PBE) for a relaxed CoCuW crystal.

Cell: 5.5912 5.5912 5.5912 Å, 90.00 90.00 90.00°
With the nearest neighbours (Å) after each atom.
Space group F-43m (No. 216)
Unique sites:
Co 0.0000 0.0000 0.0000  4 W 2.42, 4 Cu 2.42
Cu 0.2500 0.2500 0.2500  4 Co 2.42
W 0.2500 0.2500 0.7500  4 Co 2.42

---

Top of the stability list: run x, leading by 162 meV per atom.

---

Run w
Density functional theory data (PBE) for a relaxed CoCuW crystal.

Cell: 4.1207 4.1207 2.5936 Å, 90.00 90.00 120.00°
With the nearest neighbours (Å) after each atom.
Space group P3m1 (No. 156)
Unique sites:
Co 0.0000 0.0000 0.0000  3 Cu 2.38, 2 Co 2.59
Cu 0.6667 0.3333 0.9977  3 Co 2.38, 2 Cu 2.59
W 0.3333 0.6667 0.4990  2 W 2.59, 6 Cu 2.71, 6 Co 2.71

---

Run x
Density functional theory data (PBE) for a relaxed CoCuW crystal.

Cell: 2.6683 3.6892 7.7698 Å, 90.00 90.00 90.00°
With the nearest neighbours (Å) after each atom.
Space group Imm2 (No. 44)
Unique sites:
Co 0.0000 0.0000 0.0000  5 W 2.60-2.61, 5 Cu 2.60-2.62, 2 Co 2.67
Cu 0.0000 0.0000 0.6623  5 W 2.55-2.64, 5 Co 2.60-2.62, 2 Cu 2.67
W 0.0000 0.0000 0.3345  5 Cu 2.55-2.64, 5 Co 2.60-2.61, 2 W 2.67

---

Top of the stability list: run x, leading by 33 meV per atom.

---

Run w
Density functional theory data (PBE) for a relaxed CoCuW3 crystal.

Cell: 4.4485 4.4485 4.4485 Å, 90.00 90.00 90.00°
With the nearest neighbours (Å) after each atom.
Space group Pm-3m (No. 221)
Unique sites:
Co 0.0000 0.0000 0.0000  12 W 3.15
Cu 0.5000 0.5000 0.5000  6 W 2.22
W 0.0000 0.5000 0.5000  2 Cu 2.22

---

Run x
Density functional theory data (PBE) for a relaxed CoCuW3 crystal.

Cell: 4.4360 4.4360 4.4360 Å, 90.00 90.00 90.00°
With the nearest neighbours (Å) after each atom.
Space group Pm-3m (No. 221)
Unique sites:
Co 0.0000 0.0000 0.0000  6 W 2.22
Cu 0.5000 0.5000 0.5000  12 W 3.14
W 0.0000 0.0000 0.5000  2 Co 2.22

---

Top of the stability list: run x, leading by 583 meV per atom.

---

Run w
Density functional theory data (PBE) for a relaxed Co3CuW crystal.

Cell: 4.1335 4.1335 4.1335 Å, 90.00 90.00 90.00°
With the nearest neighbours (Å) after each atom.
Space group Pm-3m (No. 221)
Unique sites:
Co 0.0000 0.0000 0.5000  2 Cu 2.07
Cu 0.0000 0.0000 0.0000  6 Co 2.07
W 0.5000 0.5000 0.5000  12 Co 2.92

---

Run x
Density functional theory data (PBE) for a relaxed Co3CuW crystal.

Cell: 4.4217 4.4217 4.4217 Å, 90.00 90.00 90.00°
With the nearest neighbours (Å) after each atom.
Space group Pm-3m (No. 221)
Unique sites:
Co 0.0000 0.0000 0.5000  2 W 2.21
Cu 0.5000 0.5000 0.5000  12 Co 3.13
W 0.0000 0.0000 0.0000  6 Co 2.21

---

Top of the stability list: run w, leading by 56 meV per atom.